Record 1
A plane-wave DFT calculation with GGA-PBEsol was carried out for an optimized crystal structure of Co3RhPb.

Values from the calculation:
energy of formation from the pure elements: 1.213 eV/atom
ρ: 8.85 g/cm3
DFT total energy: -0.215 Ha/atom
SG: Pm-3m
V: 91.4 Å³/cell

Lattice parameters (Å, degrees): 4.504 4.504 4.504 90.00 90.00 90.00
Sites, in units of the cell vectors:
Pb  0.500  0.500  0.500
Co  0.000  0.500  0.000
Co  0.000  0.000  0.500
Co  0.500  0.000  0.000
Rh  0.000  0.000  0.000

Record 2
A plane-wave DFT calculation with GGA-PBEsol was carried out for an optimized crystal structure of CoRhPb2.

Values from the calculation:
energy of formation from the pure elements: 0.239 eV/atom
ρ: 12.13 g/cm3
DFT total energy: -0.211 Ha/atom
SG: P4mm
V: 78.9 Å³/cell
distance to the lowest polymorph of the same formula: 0.000 eV per atom

Lattice parameters (Å, degrees): 3.171 3.171 7.846 90.00 90.00 90.00
Sites, in units of the cell vectors:
Co  0.500  0.500  0.704
Pb  0.000  0.000  0.928
Pb  0.500  0.500  0.316
Rh  0.000  0.000  0.552

Record 3
A plane-wave DFT calculation with GGA-PBEsol was carried out for an optimized crystal structure of CoRhPb2.

Values from the calculation:
energy of formation from the pure elements: 0.413 eV/atom
ρ: 13.10 g/cm3
DFT total energy: -0.204 Ha/atom
SG: P2/m
V: 73.1 Å³/cell
distance to the lowest polymorph of the same formula: 0.174 eV per atom

Lattice parameters (Å, degrees): 3.268 4.374 5.456 110.46 90.00 90.00
Sites, in units of the cell vectors:
Co  0.000  0.000  0.500
Pb  0.000  0.000  0.000
Pb  0.500  0.500  0.500
Rh  0.500  0.500  0.000

Record 4
A plane-wave DFT calculation with GGA-PBEsol was carried out for an optimized crystal structure of CoRhPb2.

Values from the calculation:
energy of formation from the pure elements: 0.353 eV/atom
ρ: 13.48 g/cm3
DFT total energy: -0.206 Ha/atom
SG: Fm-3m
V: 71.0 Å³/cell
distance to the lowest polymorph of the same formula: 0.114 eV per atom

Lattice parameters (Å, degrees): 4.644 4.648 4.648 60.05 60.03 60.03
Sites, in units of the cell vectors:
Co  0.500  0.000  0.000
Pb  0.250  0.750  0.750
Pb  0.750  0.250  0.250
Rh  0.000  0.500  0.500

Please write out number 1 again, unchanged.
A plane-wave DFT calculation with GGA-PBEsol was carried out for an optimized crystal structure of Co3RhPb.

Values from the calculation:
energy of formation from the pure elements: 1.213 eV/atom
ρ: 8.85 g/cm3
DFT total energy: -0.215 Ha/atom
SG: Pm-3m
V: 91.4 Å³/cell

Lattice parameters (Å, degrees): 4.504 4.504 4.504 90.00 90.00 90.00
Sites, in units of the cell vectors:
Pb  0.500  0.500  0.500
Co  0.000  0.500  0.000
Co  0.000  0.000  0.500
Co  0.500  0.000  0.000
Rh  0.000  0.000  0.000

- The lowest DFT total energy belongs to which entry?
  Co3RhPb